First-principles (PBE) data for a geometry-optimized Na2ReCl structure, as listed in the Alexandria database.

Unit cell a=5.270 b=5.270 c=5.270 alpha=60.00 beta=60.00 gamma=60.00
Each line ends with the local moment (μB).
Atoms (fractional coordinates):
Re 0.500 0.500 0.500  3.31
Na 0.250 0.250 0.250  -0.01
Na 0.750 0.750 0.750  -0.01
Cl 0.000 0.000 0.000  0.04

## Properties
Spin magnetization: 4.004 μB per formula unit
Distance to the lowest polymorph of the same formula: 7.5 kJ/mol of atoms
SG: No. 225
Density of states at the Fermi level: 0.932 states/eV/atom
E: -13.28 eV for the cell shown
E_form (uncorrected): 914 meV per atom
Theoretical density: 4.3 g/cm3

First-principles (PBE) data for a geometry-optimized ZrPbIN2 structure, as listed in the Alexandria database.

Unit cell a=4.278 b=5.599 c=4.278 alpha=90.00 beta=90.00 gamma=90.00
Atoms (fractional coordinates):
Pb 0.500 0.500 0.500
I 0.000 0.000 0.000
Zr 0.000 0.500 0.000
N 0.000 0.000 0.500
N 0.500 0.000 0.000

## Properties
Spin magnetization: 0.001 μB per formula unit
Distance to the lowest polymorph of the same formula: 127.9 kJ/mol of atoms
SG: No. 123
Density of states at the Fermi level: 0.903 states/eV/atom
E: -22.15 eV for the cell shown
E_form (uncorrected): 1662 meV per atom
Theoretical density: 7.3 g/cm3

First-principles (PBE) data for a geometry-optimized CsNa2CaPb structure, as listed in the Alexandria database.

Unit cell a=6.308 b=6.308 c=6.216 alpha=90.00 beta=90.00 gamma=90.00
Atoms (fractional coordinates):
Pb 0.000 0.000 0.000
Cs 0.500 0.500 0.500
Ca 0.000 0.000 0.500
Na 0.000 0.500 0.000
Na 0.500 0.000 0.000

## Properties
Spin magnetization: 0.000 μB per formula unit
SG: No. 123
Density of states at the Fermi level: 0.627 states/eV/atom
E: -9.53 eV for the cell shown
Theoretical density: 2.9 g/cm3
Energy of formation from the pure elements: -0.3 eV per formula unit

First-principles (PBE) data for a geometry-optimized AcLuRu4 structure, as listed in the Alexandria database.

Unit cell a=5.432 b=5.432 c=5.432 alpha=60.00 beta=60.00 gamma=60.00
Atoms (fractional coordinates):
Ru 0.626 0.626 0.122
Ru 0.626 0.122 0.626
Ru 0.626 0.626 0.626
Ru 0.122 0.626 0.626
Ac 0.250 0.250 0.250
Lu 0.000 0.000 0.000

## Properties
Spin magnetization: 0.000 μB per formula unit
SG: No. 216
Density of states at the Fermi level: 1.450 states/eV/atom
E: -46.23 eV for the cell shown
Theoretical density: 11.8 g/cm3
Energy of formation from the pure elements: -0.5 eV per formula unit

First-principles (PBE) data for a geometry-optimized SrLi2PmAs2 structure, as listed in the Alexandria database.

Unit cell a=4.380 b=4.380 c=8.071 alpha=90.00 beta=90.00 gamma=120.00
Atoms (fractional coordinates):
Sr 0.000 0.000 0.000
Li 0.333 0.667 0.736
Li 0.667 0.333 0.264
Pm 0.000 0.000 0.500
As 0.333 0.667 0.266
As 0.667 0.333 0.734

## Properties
Spin magnetization: 0.000 μB per formula unit
SG: No. 164
Density of states at the Fermi level: 0.419 states/eV/atom
E: -25.52 eV for the cell shown
Theoretical density: 4.9 g/cm3
Energy of formation from the pure elements: -6.0 eV per formula unit

First-principles (PBE) data for a geometry-optimized CaPm2Er structure, as listed in the Alexandria database.

Unit cell a=3.635 b=3.635 c=12.314 alpha=81.51 beta=81.51 gamma=60.00
Atoms (fractional coordinates):
Ca 0.500 0.500 0.500
Pm 0.745 0.745 0.766
Pm 0.255 0.255 0.234
Er 0.000 0.000 0.000

## Properties
Spin magnetization: 0.000 μB per formula unit
Distance to the lowest polymorph of the same formula: 0.0 kJ/mol of atoms
SG: No. 166
Density of states at the Fermi level: 1.292 states/eV/atom
E: -15.90 eV for the cell shown
Theoretical density: 5.9 g/cm3
Energy of formation from the pure elements: 0.2 eV per formula unit

First-principles (PBE) data for a geometry-optimized KCdSbS3 structure, as listed in the Alexandria database.

Unit cell a=4.087 b=9.186 c=9.777 alpha=98.76 beta=90.00 gamma=90.00
Atoms (fractional coordinates):
K 0.250 0.163 0.205
K 0.750 0.837 0.795
Cd 0.250 0.111 0.599
Cd 0.750 0.889 0.401
Sb 0.250 0.637 0.136
Sb 0.750 0.363 0.864
S 0.750 0.835 0.136
S 0.250 0.165 0.864
S 0.250 0.817 0.532
S 0.750 0.183 0.468
S 0.750 0.412 0.118
S 0.250 0.588 0.882

## Properties
Spin magnetization: 0.000 μB per formula unit
SG: No. 11
E: -44.93 eV for the cell shown
E_form (uncorrected): -658 meV per atom
Theoretical density: 3.4 g/cm3

First-principles (PBE) data for a geometry-optimized ScZn2Re structure, as listed in the Alexandria database.

Unit cell a=4.113 b=2.767 c=6.184 alpha=63.49 beta=90.00 gamma=90.00
Atoms (fractional coordinates):
Re 0.500 0.250 0.250
Sc 0.500 0.750 0.750
Zn 0.000 0.980 0.020
Zn 0.000 0.520 0.480

## Properties
Spin magnetization: 0.007 μB per formula unit
Distance to the lowest polymorph of the same formula: 3.5 kJ/mol of atoms
SG: No. 10
Density of states at the Fermi level: 0.413 states/eV/atom
E: -21.53 eV for the cell shown
Theoretical density: 9.5 g/cm3
Energy of formation from the pure elements: -0.2 eV per formula unit